Here is a relaxed PmGa2PtAu2 crystal from Alexandria via LeMat-Bulk. Energies are from PBE.

```
PmGa2PtAu2
1.0
4.043 0.000 0.000
0.000 4.043 0.000
-2.021 -2.021 9.828
Pm Ga Pt Au
1 2 1 2
Cartesian
2.021 2.021 0.000 Pm
0.000 0.000 6.694 Ga
2.021 2.021 3.135 Ga
0.000 0.000 0.000 Pt
0.000 2.021 4.914 Au
2.021 0.000 4.914 Au
```

Calculated values
* SG: No. 139
* magnetic moment: 0.00 μB/f.u.
* electronic total energy: -24.05 eV/cell
* DFT formation energy: -0.108 eV/atom